Entry 1:
# PrDyPuHg

Crystalline PrDyPuHg at its relaxed geometry (PBE, the Alexandria database).

a = 5.4472 Å, b = 5.4472 Å, c = 5.4472 Å
α = 60.00°, β = 60.00°, γ = 60.00°
Last column: nearest neighbours and their distance in Å.
Positions (direct):
Pr  0.5000  0.5000  0.5000  4 Hg 3.34, 4 Pu 3.34
Dy  0.0000  0.0000  0.0000  4 Pu 3.34, 4 Hg 3.34
Hg  0.7500  0.7500  0.7500  4 Pr 3.34, 4 Dy 3.34
Pu  0.2500  0.2500  0.2500  4 Dy 3.34, 4 Pr 3.34

Summary:
- Raw total energy: -23.88 eV per cell


Entry 2:
# LiGaTeI2

Crystalline LiGaTeI2 at its relaxed geometry (PBE, the Alexandria database).

a = 5.6295 Å, b = 5.6295 Å, c = 5.1948 Å
α = 90.00°, β = 90.00°, γ = 90.00°
Last column: nearest neighbours and their distance in Å.
Positions (direct):
I  0.0000  0.5000  0.0000  2 Li 2.81
I  0.5000  0.0000  0.0000  2 Li 2.81
Te  0.0000  0.0000  0.5000  2 Li 2.60
Ga  0.5000  0.5000  0.5000  8 I 3.83, 4 Te 3.98
Li  0.0000  0.0000  0.0000  2 Te 2.60, 4 I 2.81

Summary:
- Relative energy among the computed polymorphs: 0.0800 eV per atom
- E_form (uncorrected): -134 meV/atom


Entry 3:
# BaHf2In2

Crystalline BaHf2In2 at its relaxed geometry (PBE, the Alexandria database).

a = 9.0950 Å, b = 9.0950 Å, c = 3.1759 Å
α = 90.00°, β = 90.00°, γ = 90.00°
Last column: nearest neighbours and their distance in Å.
Positions (direct):
Hf  0.3796  0.8796  0.0000  3 Hf 3.10-3.18, 6 In 3.11-3.13
Hf  0.8796  0.6204  0.0000  3 Hf 3.10-3.18, 6 In 3.11-3.13
Hf  0.6204  0.1204  0.0000  3 Hf 3.10-3.18, 6 In 3.11-3.13
Hf  0.1204  0.3796  0.0000  3 Hf 3.10-3.18, 6 In 3.11-3.13
Ba  0.0000  0.0000  0.0000  2 Ba 3.18
Ba  0.5000  0.5000  0.0000  2 Ba 3.18
In  0.1715  0.6715  0.5000  6 Hf 3.11-3.13, 2 In 3.18
In  0.6715  0.8285  0.5000  6 Hf 3.11-3.13, 2 In 3.18
In  0.8285  0.3285  0.5000  6 Hf 3.11-3.13, 2 In 3.18
In  0.3285  0.1715  0.5000  6 Hf 3.11-3.13, 2 In 3.18

Summary:
- Relative energy among the computed polymorphs: 0.0000 eV per atom


Entry 4:
# HgTe2SeI

Crystalline HgTe2SeI at its relaxed geometry (PBE, the Alexandria database).

a = 5.5758 Å, b = 5.5758 Å, c = 5.7607 Å
α = 90.00°, β = 90.00°, γ = 90.00°
Last column: nearest neighbours and their distance in Å.
Positions (direct):
I  0.0000  0.0000  0.5000  2 Se 2.88
Te  0.0000  0.5000  0.0000  2 Se 2.79
Te  0.5000  0.0000  0.0000  2 Se 2.79
Hg  0.5000  0.5000  0.5000  4 I 3.94, 8 Te 4.01
Se  0.0000  0.0000  0.0000  4 Te 2.79, 2 I 2.88

Summary:
- Relative energy among the computed polymorphs: 0.0000 eV per atom
- E_form (uncorrected): 375 meV/atom


Entry 5:
# MoIr2Os

Crystalline MoIr2Os at its relaxed geometry (PBE, the Alexandria database).

a = 4.4049 Å, b = 4.4049 Å, c = 4.4049 Å
α = 60.00°, β = 60.00°, γ = 60.00°
Last column: nearest neighbours and their distance in Å.
Positions (direct):
Ir  0.0000  0.0000  0.0000  4 Os 2.70, 4 Ir 2.70
Ir  0.2500  0.2500  0.2500  4 Ir 2.70, 4 Mo 2.70
Mo  0.5000  0.5000  0.5000  4 Os 2.70, 4 Ir 2.70
Os  0.7500  0.7500  0.7500  4 Mo 2.70, 4 Ir 2.70

Summary:
- Relative energy among the computed polymorphs: 0.6037 eV per atom


Entry 6:
# Rb2CdPtN

Crystalline Rb2CdPtN at its relaxed geometry (PBE, the Alexandria database).

a = 6.3976 Å, b = 6.3976 Å, c = 3.7597 Å
α = 90.00°, β = 90.00°, γ = 90.00°
Last column: nearest neighbours and their distance in Å.
Positions (direct):
N  0.0000  0.0000  0.0000  2 Pt 1.88
Rb  0.0000  0.5000  0.0000  2 N 3.20
Rb  0.5000  0.0000  0.0000  2 N 3.20
Pt  0.0000  0.0000  0.5000  2 N 1.88
Cd  0.5000  0.5000  0.5000  8 Rb 3.71, 2 Cd 3.76

Summary:
- Relative energy among the computed polymorphs: 0.0000 eV per atom
- E_form (uncorrected): -60 meV/atom


no.,ρ (g cm⁻³),DOS(E_F) (states/eV per atom),total moment (μB/atom)
1,10.9,4.015,1.65
2,4.6,1.131,0.00
3,9.2,1.282,0.00
4,6.1,0.998,0.00
5,18.4,0.967,0.00
6,5.3,0.229,0.00